(1)
In2NiRh2 | PBE-GGA | optimized geometry

Lattice parameters (Å, degrees): 4.106 4.106 11.726 90.00 90.00 90.00
Positions (direct):
In 0.000 0.500 0.250
In 0.000 0.500 0.750
In 0.500 0.000 0.250
In 0.500 0.000 0.750
Ni 0.000 0.000 0.000
Ni 0.500 0.500 0.500
Rh 0.000 0.000 0.396
Rh 0.000 0.000 0.604
Rh 0.500 0.500 0.104
Rh 0.500 0.500 0.896

Calculated values
final energy	-23.6	eV/f.u.
calculated density	8.300	g cm⁻³
total moment	1.37	μB per formula unit
D(E_F)	0.821	states/eV/atom
space-group type	I4/mmm, No. 139
crystal system	tetragonal


(2)
Ba6Nd | PBE-GGA | optimized geometry

Lattice parameters (Å, degrees): 9.303 9.303 9.303 90.00 90.00 90.00
Positions (direct):
Ba 0.000 0.250 0.500
Ba 0.000 0.500 0.250
Ba 0.000 0.500 0.750
Ba 0.000 0.750 0.500
Ba 0.250 0.000 0.500
Ba 0.250 0.500 0.000
Ba 0.500 0.000 0.250
Ba 0.500 0.000 0.750
Ba 0.500 0.250 0.000
Ba 0.500 0.750 0.000
Ba 0.750 0.000 0.500
Ba 0.750 0.500 0.000
Nd 0.000 0.000 0.000
Nd 0.500 0.500 0.500

Calculated values
final energy	-9.2	eV/f.u.
calculated density	3.993	g cm⁻³
total moment	0.41	μB per formula unit
D(E_F)	1.667	states/eV/atom
space-group type	Im-3m, No. 229
crystal system	cubic


(3)
Ta2CoW | PBE-GGA | optimized geometry

Lattice parameters (Å, degrees): 2.768 4.391 5.316 90.00 99.27 90.00
Positions (direct):
Ta 0.248 0.000 0.252
Ta 0.752 0.000 0.748
Co 0.000 0.500 0.500
W 0.500 0.500 0.000

Calculated values
final energy	-43.4	eV/f.u.
calculated density	15.744	g cm⁻³
total moment	1.01	μB per formula unit
D(E_F)	0.966	states/eV/atom
space-group type	P2/m, No. 10
crystal system	monoclinic


(4)
PmNdGaRh | PBE-GGA | optimized geometry

Lattice parameters (Å, degrees): 3.950 4.403 11.228 90.00 90.00 90.00
Positions (direct):
Pm 0.000 0.000 0.000
Pm 0.000 0.500 0.500
Nd 0.500 0.000 0.714
Nd 0.500 0.500 0.214
Ga 0.000 0.000 0.298
Ga 0.000 0.500 0.798
Rh 0.500 0.000 0.450
Rh 0.500 0.500 0.950

Calculated values
final energy	-22.5	eV/f.u.
calculated density	7.855	g cm⁻³
total moment	0.00	μB per formula unit
D(E_F)	0.837	states/eV/atom
space-group type	Amm2, No. 38
crystal system	orthorhombic


(5)
Nb3W | PBE-GGA | optimized geometry

Lattice parameters (Å, degrees): 2.668 9.669 5.581 90.00 90.00 90.00
Positions (direct):
Nb 0.000 0.000 0.000
Nb 0.000 0.248 0.276
Nb 0.000 0.752 0.276
Nb 0.500 0.252 0.776
Nb 0.500 0.500 0.500
Nb 0.500 0.748 0.776
W 0.000 0.500 0.005
W 0.500 0.000 0.505

Calculated values
final energy	-42.2	eV/f.u.
calculated density	10.668	g cm⁻³
total moment	0.00	μB per formula unit
D(E_F)	1.030	states/eV/atom
space-group type	Imm2, No. 44
crystal system	orthorhombic


(6)
MgAlSb2 | PBE-GGA | optimized geometry

Lattice parameters (Å, degrees): 3.280 5.847 5.040 90.00 90.00 90.00
Positions (direct):
Mg 0.000 0.000 0.000
Al 0.492 0.500 0.503
Sb 0.498 0.000 0.500
Sb 0.996 0.500 0.002

Calculated values
final energy	-13.8	eV/f.u.
calculated density	5.064	g cm⁻³
raw formation energy	-0.065	eV per atom
total moment	0.00	μB per formula unit
D(E_F)	0.461	states/eV/atom
space-group type	Pm, No. 6
crystal system	monoclinic